Here is crystalline Sc2Tl2Te at its relaxed geometry from the Alexandria database. Energies are from PBE.

abc: 8.129 8.129 3.933
angles: 90.00 90.00 90.00
Positions (direct):
Sc: 0.175 0.325 0.000
Sc: 0.325 0.825 0.000
Sc: 0.675 0.175 0.000
Sc: 0.825 0.675 0.000
Tl: 0.130 0.630 0.500
Tl: 0.370 0.130 0.500
Tl: 0.630 0.870 0.500
Tl: 0.870 0.370 0.500
Te: 0.000 0.000 0.500
Te: 0.500 0.500 0.500

Excess energy over the best structure of this formula in the dataset, meV/atom: 297.2
ΔE_f (raw), eV/atom: -0.159

=====

Here is crystalline LiSc2B at its relaxed geometry from the Alexandria database. Energies are from PBE.

abc: 7.103 7.103 5.990
angles: 90.00 90.00 90.00
Positions (direct):
Li: 0.000 0.000 0.000
Li: 0.000 0.500 0.250
Li: 0.500 0.000 0.750
Li: 0.500 0.500 0.500
Sc: 0.182 0.250 0.625
Sc: 0.250 0.682 0.875
Sc: 0.250 0.818 0.375
Sc: 0.318 0.250 0.125
Sc: 0.682 0.750 0.125
Sc: 0.750 0.182 0.375
Sc: 0.750 0.318 0.875
Sc: 0.818 0.750 0.625
B: 0.000 0.000 0.500
B: 0.000 0.500 0.750
B: 0.500 0.000 0.250
B: 0.500 0.500 0.000

Energy of formation from the pure elements, eV per atom: 0.26

=====

Here is crystalline Sr2MnAlNi at its relaxed geometry from the Alexandria database. Energies are from PBE.

abc: 5.947 5.947 4.375
angles: 90.00 90.00 90.00
Positions (direct):
Sr: 0.000 0.500 0.000
Sr: 0.500 0.000 0.000
Mn: 0.000 0.000 0.000
Al: 0.500 0.500 0.500
Ni: 0.000 0.000 0.500

Energy of formation from the pure elements, eV per atom: 0.59

=====

Theoretical density
In order: 8.0; 2.4; 3.4
Unit: Mg/m³
DOS(E_F)
In order: 2.73; 1.89; 4.77
Unit: states/eV/f.u.
Calculated total energy
In order: -4.267; -5.051; -3.826
Unit: eV/atom